1.
The following is a DFT calculation (PBE) of a relaxed TaAl2Rh crystal.

calculated formation energy = -1.61 eV/f.u.
DOS at the Fermi energy = 2.39 states/eV per cell
symmetry = Pm, No. 6
calculated total energy = -28.30 eV per cell

Cell: 4.2923 2.8932 5.2725 Å, 74.33 90.00 90.00°
Positions (direct):
1 Al 0.5000 0.4372 0.2437
2 Al 0.0000 0.0463 0.0320
3 Ta 0.5000 0.7032 0.7241
4 Rh 0.0000 0.3133 0.5002



2.
The following is a DFT calculation (PBE) of a relaxed MgReRh crystal.

calculated formation energy = -0.11 eV/f.u.
DOS at the Fermi energy = 2.93 states/eV per cell
symmetry = I4mm, No. 107
distance to the lowest polymorph of the same formula = 31 kJ/mol of formula units
calculated total energy = -21.51 eV per cell

Cell: 6.0644 6.0643 2.8483 Å, 76.42 76.42 27.16°
Positions (direct):
1 Mg 0.0043 0.0044 0.9957
2 Re 0.3214 0.3214 0.6786
3 Rh 0.6743 0.6742 0.3257



3.
The following is a DFT calculation (PBE) of a relaxed RuRhAu2 crystal.

calculated formation energy = 1.44 eV/f.u.
DOS at the Fermi energy = 4.97 states/eV per cell
symmetry = Imm2, No. 44
distance to the lowest polymorph of the same formula = 81 kJ/mol of formula units
calculated total energy = -21.74 eV per cell

Cell: 5.5588 5.5588 5.5588 Å, 150.47 128.85 60.17°
Each line ends with the local moment (μB).
Positions (direct):
1 Au 0.9917 0.9917 0.0000  0.02
2 Au 0.2584 0.7584 0.5000  0.02
3 Rh 0.5149 0.5149 0.0000  0.30
4 Ru 0.7350 0.2350 0.5000  0.71



- Which of these has the lowest DOS at the Fermi energy?
  TaAl2Rh



- What is the calculated total energy in the first record?
  -28.30 eV per cell